RbCaZn2Pd: optimized geometry, PBE-GGA.

Values from the calculation:
ρ, g cm⁻³: 4.2
Calculated total energy, eV for the cell shown: -11.4
Symmetry: P4/mmm (123)
Calculated volume, Å³/f.u.: 142.0

Cell: 5.1554 5.1554 5.3432 Å, 90.00 90.00 90.00°
Positions (direct):
Rb 0.0000 0.0000 0.0000
Ca 0.5000 0.5000 0.0000
Zn 0.0000 0.5000 0.5000
Zn 0.5000 0.0000 0.5000
Pd 0.5000 0.5000 0.5000